Version P
A plane-wave DFT calculation with PBE-GGA was carried out for a relaxed ZnSb2TeRh crystal.

Lattice parameters (Å, degrees): 5.040 5.040 5.644 90.00 90.00 90.00
Atoms (fractional coordinates):
Zn  0.000  0.000  0.000
Sb  0.000  0.500  0.500
Sb  0.500  0.000  0.500
Te  0.500  0.500  0.000
Rh  0.500  0.500  0.500

Values from the calculation:
magnetization = 0.0 μB/f.u.
symmetry = No. 123
calculated volume = 28.7 Å³/atom



Version Q
A plane-wave DFT calculation with PBE-GGA was carried out for a relaxed ZnSb2TeRh crystal.

Lattice parameters (Å, degrees): 5.042 5.042 5.230 90.00 90.00 90.00
Atoms (fractional coordinates):
Zn  0.000  0.000  0.000
Sb  0.000  0.500  0.000
Sb  0.500  0.000  0.000
Te  0.000  0.000  0.500
Rh  0.500  0.500  0.500

Values from the calculation:
magnetization = 0.0 μB/f.u.
symmetry = No. 123
calculated volume = 26.6 Å³/atom



Most favorable structure: version P. The second most favorable one is 536 meV/atom above it.